[1]
The following is a DFT calculation (PBE) of a relaxed BaNbCrOs2 crystal.

The structure in extended XYZ format:
```
5
Lattice="-4.6010 -1.1960 1.2797 -0.0628 -3.5329 -3.5276 1.7505 -3.2668 3.2405" Properties=species:S:1:pos:R:3 pbc="T T T"
Cr -1.4566 -3.9979 0.4963
Nb -0.0314 -1.7665 -1.7638
Os 0.8753 -1.6334 1.6203
Os -2.3005 -0.5980 0.6399
Ba 0.0000 0.0000 0.0000
```

The calculation puts the energy relative to the elements at 3.722 eV per atom. The calculation puts the density of states at the Fermi level at 8.3 states/eV/cell.

***

[2]
The following is a DFT calculation (PBE) of a relaxed BaNb2CrP crystal.

The structure in extended XYZ format:
```
5
Lattice="4.8395 0.0000 0.0000 0.0000 4.8589 0.0000 0.0000 0.0000 4.8395" Properties=species:S:1:pos:R:3 pbc="T T T"
Cr 0.0000 2.4294 0.0000
Nb 0.0000 0.0000 2.4198
Nb 2.4198 0.0000 0.0000
Ba 2.4198 2.4294 2.4198
P 0.0000 0.0000 0.0000
```

The calculation puts the energy relative to the elements at 0.496 eV per atom. The calculation puts the density of states at the Fermi level at 6.7 states/eV/cell.

***

[3]
The following is a DFT calculation (PBE) of a relaxed Ba2NbCrS6 crystal.

The structure in extended XYZ format:
```
20
Lattice="6.8494 0.0000 0.0000 3.4247 5.9317 0.0000 3.4247 1.9772 11.4664" Properties=species:S:1:pos:R:3 pbc="T T T"
Ba 10.2740 5.9317 4.1100
Ba 3.4247 1.9772 7.3564
Ba 10.2740 5.9317 10.1210
Ba 3.4247 1.9772 1.3453
Nb 0.0000 0.0000 0.0000
Nb 6.8494 3.9545 5.7332
Cr 6.8493 3.9545 2.8145
Cr 6.8494 3.9545 8.6519
S 8.5285 2.9850 4.2091
S 6.8494 5.8934 4.2091
S 5.1702 2.9850 4.2091
S 5.1702 4.9239 7.2572
S 6.8494 2.0156 7.2572
S 8.5285 4.9239 7.2572
S 8.5452 2.9754 10.0456
S 6.8494 5.9127 10.0456
S 5.1535 2.9754 10.0456
S 5.1535 4.9336 1.4208
S 6.8494 1.9963 1.4208
S 8.5452 4.9336 1.4208
```

The calculation puts the density of states at the Fermi level at 5.6 states/eV/cell. The calculation puts the energy relative to the elements, uncorrected at -1.326 eV per atom.

***

[4]
The following is a DFT calculation (PBE) of a relaxed BaNbCrTc2 crystal.

The structure in extended XYZ format:
```
5
Lattice="-1.0458 1.8475 4.2189 -4.3921 -1.8112 -0.2956 1.4906 -3.9577 2.1026" Properties=species:S:1:pos:R:3 pbc="T T T"
Cr 0.0000 0.0000 0.0000
Nb -2.1960 -0.9056 -0.1478
Ba -1.9737 -1.9607 3.0129
Tc 0.7453 -1.9788 1.0513
Tc -0.5229 0.9238 2.1094
```

The calculation puts the energy relative to the elements at 1.039 eV per atom. The calculation puts the density of states at the Fermi level at 4.7 states/eV/cell.